No. 1
First-principles (PBE-GGA) data for crystalline BC at its relaxed geometry, as listed in Alexandria.

Cell lengths 4.6849, 4.6849, 8.0136 Å; angles 111.06, 111.06, 33.27 degrees
Atoms (fractional coordinates):
B 0.0000 0.0000 0.0000
B 0.0414 0.0414 0.5713
B 0.2644 0.2644 0.3424
B 0.3622 0.3622 0.7282
B 0.6544 0.6544 0.8301
B 0.9210 0.9210 0.1723
C 0.1955 0.1955 0.7616
C 0.4032 0.4032 0.2638
C 0.5279 0.5279 0.9255
C 0.5557 0.5557 0.4416
C 0.7181 0.7181 0.4178
C 0.8685 0.8685 0.5947

Results
The calculation puts the relative energy among the computed polymorphs at 187 meV/atom. Its symmetry is Cm (8).

No. 2
First-principles (PBE-GGA) data for crystalline B3C at its relaxed geometry, as listed in Alexandria.

Cell lengths 2.7079, 5.0511, 4.2130 Å; angles 90.00, 90.00, 90.00 degrees
Atoms (fractional coordinates):
B 0.2500 0.0508 0.1175
B 0.2500 0.4492 0.1175
B 0.2500 0.7500 0.4044
B 0.7500 0.2500 0.5956
B 0.7500 0.5508 0.8825
B 0.7500 0.9492 0.8825
C 0.2500 0.2500 0.4052
C 0.7500 0.7500 0.5948

Results
The calculation puts the relative energy among the computed polymorphs at 208 meV/atom. Its symmetry is Pmmn (59).

Question: Among the records above, which one has the highest relative energy among the computed polymorphs?
Answer: B3C